# MoAsI2N meta-GGA SCAN PBEsol geometry
data_MoAsI2N
_chemical_formula_sum 'Mo1 As1 I2 N1'
_symmetry_space_group_name_H-M 'P 1'
_symmetry_Int_Tables_number 1
_cell_length_a 3.646
_cell_length_b 5.766
_cell_length_c 5.766
_cell_angle_alpha 90.00
_cell_angle_beta 90.00
_cell_angle_gamma 90.00
loop_
_symmetry_equiv_pos_as_xyz
'x,y,z'
loop_
_atom_site_label
_atom_site_type_symbol
_atom_site_fract_x
_atom_site_fract_y
_atom_site_fract_z
_atom_site_occupancy
I1 I 0.000 0.000 0.500 1
I2 I 0.000 0.500 0.000 1
Mo1 Mo 0.500 0.500 0.500 1
As1 As 0.000 0.000 0.000 1
N1 N 0.500 0.000 0.000 1
# total magnetization	4.69	Bohr magnetons per cell
# E	-131.956	eV/cell
# raw formation energy	1.18	eV/atom